Material: TbZn3Ni
Method: DFT, GGA-PBE
State: relaxed

Lattice parameters (Å, degrees): 6.024 5.358 5.227 90.00 90.70 90.00
Fractional coordinates of all 10 atoms:
Zn 0.621 0.750 0.399
Ni 0.961 0.750 0.136
Zn 0.311 0.008 0.148
Ni 0.039 0.250 0.864
Zn 0.689 0.508 0.852
Tb 0.148 0.750 0.651
Zn 0.311 0.492 0.148
Zn 0.689 0.992 0.852
Zn 0.379 0.250 0.601
Tb 0.852 0.250 0.349

Results
Energy above the most stable polymorph in this dataset: 0.0 meV/atom
Symmetry: P2_1/m (11)

***

Material: NdTiS2O
Method: DFT, GGA-PBE
State: relaxed

Lattice parameters (Å, degrees): 3.777 3.777 13.026 90.00 90.00 90.00
Fractional coordinates of all 10 atoms:
S 0.000 0.500 0.092
S 0.500 0.000 0.277
Nd 0.500 0.000 0.600
O 0.000 0.000 0.500
Ti 0.000 0.500 0.899
Nd 0.000 0.500 0.400
S 0.500 0.000 0.908
O 0.500 0.500 0.500
S 0.000 0.500 0.723
Ti 0.500 0.000 0.101

Results
Symmetry: P4/nmm (129)
ΔE_f (raw): -2050 meV/atom

***

Material: UZn12Au6
Method: DFT, GGA-PBE
State: relaxed

Lattice parameters (Å, degrees): 7.294 7.294 7.294 104.80 104.80 104.80
Fractional coordinates of all 19 atoms:
Zn 0.108 0.892 0.500
Au 0.714 0.714 0.286
Zn 0.500 0.892 0.108
U 0.000 0.000 0.000
Zn 0.618 0.863 0.618
Au 0.286 0.286 0.714
Zn 0.108 0.500 0.892
Zn 0.618 0.618 0.863
Au 0.714 0.286 0.714
Zn 0.863 0.618 0.618
Zn 0.500 0.108 0.892
Au 0.714 0.286 0.286
Zn 0.137 0.382 0.382
Au 0.286 0.714 0.714
Au 0.286 0.714 0.286
Zn 0.892 0.108 0.500
Zn 0.382 0.382 0.137
Zn 0.892 0.500 0.108
Zn 0.382 0.137 0.382

Results
Symmetry: R-3m (166)
Energy: -2.532 eV/atom

***

Material: Sr3Cd6Pb5
Method: DFT, GGA-PBE
State: relaxed

Lattice parameters (Å, degrees): 4.893 11.779 14.446 90.00 90.00 90.00
Fractional coordinates of all 28 atoms:
Sr 0.500 0.755 0.500
Sr 0.500 0.754 0.811
Cd 0.500 0.026 0.359
Pb 0.500 0.474 0.647
Cd 0.500 0.556 0.000
Pb 0.500 0.474 0.353
Pb 0.500 0.234 0.500
Cd 0.000 0.974 0.141
Pb 0.000 0.766 0.000
Cd 0.000 0.624 0.653
Cd 0.500 0.376 0.847
Sr 0.000 0.246 0.689
Pb 0.000 0.526 0.853
Pb 0.000 0.526 0.147
Cd 0.500 0.953 0.000
Cd 0.000 0.624 0.347
Pb 0.000 0.875 0.338
Pb 0.000 0.875 0.662
Cd 0.500 0.376 0.153
Cd 0.000 0.047 0.500
Sr 0.500 0.754 0.189
Sr 0.000 0.245 0.000
Pb 0.500 0.125 0.838
Cd 0.000 0.444 0.500
Sr 0.000 0.246 0.311
Pb 0.500 0.125 0.162
Cd 0.500 0.026 0.641
Cd 0.000 0.974 0.859

Results
Symmetry: Pmmn (59)
Energy: -2.361 eV/atom

***

Material: CeYInGa
Method: DFT, GGA-PBE
State: relaxed

Lattice parameters (Å, degrees): 3.433 3.433 8.516 90.00 90.00 90.00
Fractional coordinates of all 4 atoms:
In 0.000 0.000 0.852
Ce 0.500 0.500 0.125
Y 0.500 0.500 0.589
Ga 0.000 0.000 0.362

Results
Energy above the most stable polymorph in this dataset: 0.0 meV/atom
Symmetry: P4mm (99)

***

Material: TbYTeC
Method: DFT, GGA-PBE
State: relaxed

Lattice parameters (Å, degrees): 3.827 3.827 7.460 90.01 104.86 120.00
Fractional coordinates of all 4 atoms:
Te 0.968 0.382 0.365
C 0.304 0.550 0.870
Y 0.094 0.945 0.054
Tb 0.512 0.154 0.681

Results
Symmetry: R3m (160)
ΔE_f (raw): -833 meV/atom

***

Material: PuNpRh4
Method: DFT, GGA-PBE
State: relaxed

Lattice parameters (Å, degrees): 5.317 5.317 5.317 60.00 60.00 60.00
Fractional coordinates of all 6 atoms:
Rh 0.625 0.625 0.625
Rh 0.625 0.125 0.625
Np 0.000 0.000 0.000
Rh 0.625 0.625 0.125
Pu 0.250 0.250 0.250
Rh 0.125 0.625 0.625

Results
Symmetry: F-43m (216)
Energy: -9.875 eV/atom

***

Material: Ca2B2Mo
Method: DFT, GGA-PBE
State: relaxed

Lattice parameters (Å, degrees): 7.724 7.724 2.739 90.00 90.00 90.00
Fractional coordinates of all 10 atoms:
Ca 0.629 0.129 0.000
Ca 0.871 0.629 0.000
Ca 0.371 0.871 0.000
B 0.168 0.668 0.500
Mo 0.500 0.500 0.000
Ca 0.129 0.371 0.000
Mo 0.000 0.000 0.000
B 0.668 0.832 0.500
B 0.332 0.168 0.500
B 0.832 0.332 0.500

Results
Energy above the most stable polymorph in this dataset: 691.7 meV/atom
Symmetry: P4/mbm (127)

***

Number 1: theoretical density 8.15 g/cm3, total magnetic moment 0.0 μB per formula unit. Number 2: theoretical density 4.87 g/cm3, total magnetic moment 0.6 μB per formula unit. Number 3: theoretical density 10.74 g/cm3, total magnetic moment 3.5 μB per formula unit. Number 4: theoretical density 7.87 g/cm3, total magnetic moment 0.0 μB per formula unit. Number 5: theoretical density 6.84 g/cm3, total magnetic moment 0.6 μB per formula unit. Number 6: theoretical density 7.12 g/cm3, total magnetic moment 0.0 μB per formula unit. Number 7: theoretical density 13.94 g/cm3, total magnetic moment 8.5 μB per formula unit. Number 8: theoretical density 4.02 g/cm3, total magnetic moment 0.1 μB per formula unit.